Material: DyZnGa3Ni
Method: DFT, PBE-GGA
State: relaxed

Geometry as CIF:
```
data_DyZnGa3Ni
_chemical_formula_sum 'Dy4 Zn4 Ga12 Ni4'
_space_group_name_H-M_alt 'C m c m'
_space_group_IT_number 63
_space_group_name_Hall '-C 2c 2'
_cell_length_a 6.669
_cell_length_b 11.945
_cell_length_c 5.662
_cell_angle_alpha 90.00
_cell_angle_beta 90.00
_cell_angle_gamma 90.00
loop_
_atom_site_label
_atom_site_type_symbol
_atom_site_fract_x
_atom_site_fract_y
_atom_site_fract_z
_atom_site_occupancy
Dy1 Dy 0.000 0.203 0.250 1
Zn1 Zn 0.000 0.437 0.250 1
Ga1 Ga 0.000 0.338 0.750 1
Ga2 Ga 0.197 0.000 0.000 1
Ni1 Ni 0.000 0.136 0.750 1
```

Values from the calculation:
The calculation puts the density of states at the Fermi level at 2.14 states/eV/f.u. The calculation puts the total energy at -86.6 eV for the cell shown. Its crystal system is orthorhombic. For the energy relative to the elements, the calculation gives -0.15 eV per atom.

Material: La2TeRu
Method: DFT, PBE-GGA
State: relaxed

Geometry as CIF:
```
data_La2TeRu
_chemical_formula_sum 'La8 Te4 Ru4'
_space_group_name_H-M_alt 'I -4 2 d'
_space_group_IT_number 122
_space_group_name_Hall 'I -4 2bw'
_cell_length_a 7.773
_cell_length_b 7.773
_cell_length_c 8.437
_cell_angle_alpha 90.00
_cell_angle_beta 90.00
_cell_angle_gamma 90.00
loop_
_atom_site_label
_atom_site_type_symbol
_atom_site_fract_x
_atom_site_fract_y
_atom_site_fract_z
_atom_site_occupancy
La1 La 0.190 0.250 0.125 1
Te1 Te 0.000 0.000 0.500 1
Ru1 Ru 0.000 0.000 0.000 1
```

Values from the calculation:
The formation energy (no corrections) comes out at -2.44 eV/f.u. The calculation puts the density of states at the Fermi level at 0.00 states/eV/f.u. The calculation puts the total energy at -98.9 eV for the cell shown. As for the energy above the most stable polymorph in this dataset: 0.69 eV per formula unit. Its crystal system is tetragonal.

Material: Tb4NO4
Method: DFT, PBE-GGA
State: relaxed

Geometry as CIF:
```
data_Tb4NO4
_chemical_formula_sum 'Tb8 N2 O8'
_space_group_name_H-M_alt 'I -4 2 m'
_space_group_IT_number 121
_space_group_name_Hall 'I -4 2'
_cell_length_a 5.571
_cell_length_b 5.571
_cell_length_c 10.266
_cell_angle_alpha 90.00
_cell_angle_beta 90.00
_cell_angle_gamma 90.00
loop_
_atom_site_label
_atom_site_type_symbol
_atom_site_fract_x
_atom_site_fract_y
_atom_site_fract_z
_atom_site_occupancy
Tb1 Tb 0.220 0.220 0.121 1
N1 N 0.000 0.000 0.000 1
O1 O 0.000 0.000 0.276 1
O2 O 0.000 0.500 0.000 1
```

Values from the calculation:
The formation energy (no corrections) comes out at -24.34 eV/f.u. The calculation puts the density of states at the Fermi level at 2.15 states/eV/f.u. The calculation puts the total energy at -142.0 eV for the cell shown. Its crystal system is tetragonal.

Material: Ca2MoRu2
Method: DFT, PBE-GGA
State: relaxed

Geometry as CIF:
```
data_Ca2MoRu2
_chemical_formula_sum 'Ca4 Mo2 Ru4'
_space_group_name_H-M_alt 'I 4/m m m'
_space_group_IT_number 139
_space_group_name_Hall '-I 4 2'
_cell_length_a 3.750
_cell_length_b 3.750
_cell_length_c 13.765
_cell_angle_alpha 90.00
_cell_angle_beta 90.00
_cell_angle_gamma 90.00
loop_
_atom_site_label
_atom_site_type_symbol
_atom_site_fract_x
_atom_site_fract_y
_atom_site_fract_z
_atom_site_occupancy
Ca1 Ca 0.000 0.500 0.250 1
Mo1 Mo 0.000 0.000 0.000 1
Ru1 Ru 0.000 0.000 0.411 1
```

Values from the calculation:
The calculation puts the density of states at the Fermi level at 6.06 states/eV/f.u. The calculation puts the total energy at -54.5 eV for the cell shown. As for the energy above the most stable polymorph in this dataset: 5.16 eV per formula unit. Its crystal system is tetragonal. For the energy relative to the elements, the calculation gives 1.23 eV per atom.

Material: BaPu2O11
Method: DFT, PBE-GGA
State: relaxed

Geometry as CIF:
```
data_BaPu2O11
_chemical_formula_sum 'Ba2 Pu4 O22'
_space_group_name_H-M_alt 'P 1'
_space_group_IT_number 1
_cell_length_a 8.837
_cell_length_b 9.008
_cell_length_c 9.123
_cell_angle_alpha 69.46
_cell_angle_beta 61.16
_cell_angle_gamma 61.30
loop_
_space_group_symop_operation_xyz
'x,y,z'
loop_
_atom_site_label
_atom_site_type_symbol
_atom_site_fract_x
_atom_site_fract_y
_atom_site_fract_z
_atom_site_occupancy
Ba1 Ba 0.000 0.000 0.000 1
Ba2 Ba 0.499 0.500 0.500 1
Pu1 Pu 0.000 0.500 0.000 1
Pu2 Pu 0.500 0.000 0.499 1
Pu3 Pu 0.500 0.500 0.000 1
Pu4 Pu 0.999 0.000 0.501 1
O1 O 0.024 0.019 0.284 1
O2 O 0.057 0.289 0.960 1
O3 O 0.178 0.534 0.792 1
O4 O 0.195 0.792 0.476 1
O5 O 0.239 0.154 0.372 1
O6 O 0.244 0.368 0.142 1
O7 O 0.307 0.711 0.027 1
O8 O 0.310 0.195 0.198 1
O9 O 0.319 0.966 0.707 1
O10 O 0.445 0.208 0.544 1
O11 O 0.482 0.477 0.215 1
O12 O 0.518 0.523 0.784 1
O13 O 0.554 0.792 0.454 1
O14 O 0.680 0.034 0.292 1
O15 O 0.688 0.805 0.802 1
O16 O 0.694 0.290 0.972 1
O17 O 0.755 0.632 0.858 1
O18 O 0.760 0.846 0.628 1
O19 O 0.803 0.208 0.526 1
O20 O 0.822 0.465 0.209 1
O21 O 0.943 0.710 0.041 1
O22 O 0.974 0.980 0.718 1
```

Values from the calculation:
The formation energy (no corrections) comes out at -25.19 eV/f.u. The calculation puts the density of states at the Fermi level at 7.36 states/eV/f.u. The calculation puts the total energy at -220.6 eV for the cell shown. Its crystal system is triclinic.

Material: IrRuSe2
Method: DFT, PBE-GGA
State: relaxed

Geometry as CIF:
```
data_IrRuSe2
_chemical_formula_sum 'Ir1 Ru1 Se2'
_space_group_name_H-M_alt 'P m m m'
_space_group_IT_number 47
_cell_length_a 2.911
_cell_length_b 4.384
_cell_length_c 5.096
_cell_angle_alpha 90.00
_cell_angle_beta 90.00
_cell_angle_gamma 90.00
loop_
_space_group_symop_operation_xyz
'x,y,z'
'-x,-y,-z'
'-x,-y,z'
'x,y,-z'
'x,-y,-z'
'-x,y,z'
'-x,y,-z'
'x,-y,z'
loop_
_atom_site_label
_atom_site_type_symbol
_atom_site_fract_x
_atom_site_fract_y
_atom_site_fract_z
_atom_site_occupancy
Ir1 Ir 0.000 0.000 0.000 1
Ru1 Ru 0.500 0.000 0.500 1
Se1 Se 0.000 0.500 0.500 1
Se2 Se 0.500 0.500 0.000 1
```

Values from the calculation:
The formation energy (no corrections) comes out at 2.60 eV/f.u. The calculation puts the density of states at the Fermi level at 4.05 states/eV/f.u. The calculation puts the total energy at -22.5 eV for the cell shown. As for the energy above the most stable polymorph in this dataset: 2.40 eV per formula unit. Its crystal system is orthorhombic.